1.
Entry from the Alexandria database: a relaxed ErLuTcAg crystal (GGA-PBE).

abc: 4.8976 4.8976 4.8976
angles: 60.00 60.00 60.00
Last column: nearest neighbours and their distance in Å.
Positions (direct):
Tc 0.7500 0.7500 0.7500  4 Er 3.00, 4 Lu 3.00
Ag 0.2500 0.2500 0.2500  4 Er 3.00, 4 Lu 3.00
Er 0.0000 0.0000 0.0000  4 Tc 3.00, 4 Ag 3.00
Lu 0.5000 0.5000 0.5000  4 Ag 3.00, 4 Tc 3.00

Summary:
Calculated formation energy   -0.178 eV/atom
Crystal system   cubic
ρ   11.0 Mg/m³
DFT total energy   -5.754 eV/atom

***

2.
Entry from the Alexandria database: a relaxed KAcTeI crystal (GGA-PBE).

abc: 4.6400 4.6394 9.3066
angles: 90.01 104.44 119.98
Last column: nearest neighbours and their distance in Å.
Positions (direct):
I 0.9567 0.3765 0.3481  3 Ac 3.49, 3 K 3.75
Te 0.3120 0.5539 0.8813  3 Ac 3.30, 3 K 3.42
K 0.4864 0.1410 0.6428  3 Te 3.42, 3 I 3.75
Ac 0.1228 0.9594 0.0974  3 Te 3.30, 3 I 3.49

Summary:
Crystal system   trigonal
ρ   5.2 Mg/m³
DFT total energy   -3.740 eV/atom
Raw formation energy   -1266 meV per atom

***

3.
Entry from the Alexandria database: a relaxed KRbHgO crystal (GGA-PBE).

abc: 5.3897 5.3897 5.3897
angles: 60.00 60.00 60.00
Last column: nearest neighbours and their distance in Å.
Positions (direct):
Rb 0.2500 0.2500 0.2500  4 Hg 3.30, 4 O 3.30
O 0.0000 0.0000 0.0000  4 Rb 3.30, 4 K 3.30
K 0.7500 0.7500 0.7500  4 Hg 3.30, 4 O 3.30
Hg 0.5000 0.5000 0.5000  4 K 3.30, 4 Rb 3.30

Summary:
Crystal system   cubic
ρ   5.1 Mg/m³
DFT total energy   -2.271 eV/atom
Raw formation energy   -440 meV per atom